a | Computed, not measured: a geometry-optimized PC2F structure at the PBE level of DFT.

The structure belongs to space group I4_1/amd (No. 141, origin choice 2); the cell edges are 4.004, 4.004 and 11.047 Å and the angles 90.00°, 90.00° and 90.00°. Symmetry generates all atoms from P at (0.000, 0.250, 0.375), C at (0.000, 0.000, 0.500) and F at (0.000, 0.250, 0.875).

Its crystal system is tetragonal. The value obtained for the density is 2.78 Mg/m³.

b | Computed, not measured: a geometry-optimized PC2F structure at the PBE level of DFT.

The structure belongs to space group Fm-3m (No. 225); the cell edges are 5.172, 5.172 and 5.172 Å and the angles 90.00°, 90.00° and 90.00°. Symmetry generates all atoms from P at (0.000, 0.000, 0.000), C at (0.250, 0.250, 0.250) and F at (0.000, 0.000, 0.500).

Its crystal system is cubic. The value obtained for the density is 3.55 Mg/m³.

Which is the most stable structure? a is the most stable.